# 1
! Rb2Al2Ag, PBEsol geometry, DFT SCAN; values from VASP
! - Calculated formation energy: 0.584 eV per atom
! - Energy: -1.256 Ry per atom
! - N(E_F): 0.5975 states/eV/atom
&SYSTEM
  ibrav = 0, nat = 10, ntyp = 3
/
ATOMIC_SPECIES
Rb 85.47 Rb.upf
Al 26.98 Al.upf
Ag 107.87 Ag.upf
CELL_PARAMETERS angstrom
10.806 0.000 0.000
0.000 10.806 0.000
0.000 0.000 3.034
ATOMIC_POSITIONS crystal
Rb 0.206 0.294 0.000
Rb 0.294 0.794 0.000
Rb 0.706 0.206 0.000
Rb 0.794 0.706 0.000
Al 0.083 0.583 0.500
Al 0.417 0.083 0.500
Al 0.583 0.917 0.500
Al 0.917 0.417 0.500
Ag 0.000 0.000 0.000
Ag 0.500 0.500 0.000

---

# 2
! RbAl2AgSb, PBEsol geometry, DFT SCAN; values from VASP
! - Uncorrected formation energy: 0.322 eV per atom
! - Energy: -1.518 Ry per atom
! - N(E_F): 0.4800 states/eV/atom
&SYSTEM
  ibrav = 0, nat = 5, ntyp = 4
/
ATOMIC_SPECIES
Rb 85.47 Rb.upf
Al 26.98 Al.upf
Ag 107.87 Ag.upf
Sb 121.76 Sb.upf
CELL_PARAMETERS angstrom
5.012 0.000 0.000
0.000 5.012 0.000
0.000 0.000 5.640
ATOMIC_POSITIONS crystal
Rb 0.000 0.000 0.000
Al 0.000 0.500 0.500
Al 0.500 0.000 0.500
Ag 0.500 0.500 0.500
Sb 0.500 0.500 0.000